No. 1
The following is a PBE calculation of an optimized crystal structure of SrSnB2Mo, from Alexandria via LeMat-Bulk.

Results
- E_tot (hartree per atom) = -0.11835
- crystal system = tetragonal
- space group = P4/mmm (123)
- energy relative to the elements (eV per atom) = 2.75
- ρ (g/cm3) = 4.7

a = 4.6869 Å, b = 5.1573 Å, c = 4.6869 Å
α = 90.00°, β = 90.00°, γ = 90.00°
Last column: nearest neighbours and their distance in Å.
Atoms (fractional coordinates):
Sr: 0.0000 0.0000 0.0000  4 B 2.34, 2 Mo 2.58
Mo: 0.0000 0.5000 0.0000  2 Sr 2.58
B: 0.0000 0.0000 0.5000  2 Sr 2.34
B: 0.5000 0.0000 0.0000  2 Sr 2.34
Sn: 0.5000 0.5000 0.5000  4 Mo 3.31, 8 B 3.48

=====

No. 2
The following is a PBE calculation of an optimized crystal structure of ZnCrSi2, from Alexandria via LeMat-Bulk.

Results
- E_tot (hartree per atom) = -0.19885
- crystal system = tetragonal
- space group = P4mm (99)
- ρ (g/cm3) = 5.5

a = 3.2769 Å, b = 3.2769 Å, c = 4.8840 Å
α = 90.00°, β = 90.00°, γ = 90.00°
Last column: nearest neighbours and their distance in Å.
Atoms (fractional coordinates):
Cr: 0.5000 0.5000 0.7739  6 Si 2.35-2.53
Si: 0.0000 0.0000 0.9804  2 Zn 2.39-2.49, 4 Cr 2.53, 4 Si 2.68
Si: 0.5000 0.5000 0.2553  2 Cr 2.35-2.53, 4 Zn 2.59
Zn: 0.0000 0.0000 0.4904  6 Si 2.39-2.59